1.
Material: Li2Pr3Tl6
Method: DFT, PBE-GGA
State: optimized geometry

The structure belongs to space group I4/mmm (No. 139); the cell edges are 4.769, 4.769 and 26.279 Å and the angles 90.00°, 90.00° and 90.00°. The asymmetric unit holds Li at (0.000, 0.000, 0.048), Pr at (0.000, 0.000, 0.308), Pr at (0.000, 0.000, 0.500), Tl at (0.000, 0.000, 0.186) and Tl at (0.000, 0.500, 0.096).

Its energy of formation is -0.267 eV per atom. The total energy is -3.210 eV per atom.

2.
Material: Li3Pr2Tl4
Method: DFT, PBE-GGA
State: optimized geometry

The structure belongs to space group C2/m (No. 12); the cell edges are 9.398, 5.073 and 9.671 Å and the angles 90.00°, 101.57° and 90.00°. The asymmetric unit holds Li at (0.000, 0.000, 0.000), Li at (0.115, 0.500, 0.590), Pr at (0.212, 0.500, 0.242), Tl at (0.078, 0.000, 0.381) and Tl at (0.141, 0.500, 0.897).

Its energy of formation is -0.291 eV per atom. The total energy is -3.042 eV per atom.

3.
Material: Li3Pr2Tl4
Method: DFT, PBE-GGA
State: optimized geometry

The structure belongs to space group Cmce (No. 64); the cell edges are 6.663, 16.448 and 8.116 Å and the angles 90.00°, 90.00° and 90.00°. The asymmetric unit holds Li at (0.000, 0.000, 0.000), Li at (0.250, 0.226, 0.250), Pr at (0.000, 0.116, 0.578), Tl at (0.000, 0.174, 0.972) and Tl at (0.250, 0.047, 0.250).

Its energy of formation is -0.284 eV per atom. The total energy is -3.036 eV per atom.